{
  "formula": "BaHf2SnRu",
  "functional": "PBE-GGA",
  "state": "relaxed",
  "total_magnetization_mub_per_fu": 0.000,
  "ef_ev_per_atom": 1.025,
  "sg": "P4/mmm (123)",
  "cell": [[-3.2058, 2.2506, -3.9141], [-4.0134, -0.2597, 3.1378], [1.1851, 5.0515, 1.9339]],
  "species": ["Hf", "Hf", "Ru", "Sn", "Ba"],
  "frac_coords": [[0.0000, 0.0000, 0.5000], [0.5000, 0.0000, 0.0000], [0.0000, 0.5000, 0.0000], [0.0000, 0.0000, 0.0000], [0.5000, 0.5000, 0.5000]]
}

{
  "formula": "Y3Ga2Au4",
  "functional": "PBE-GGA",
  "state": "relaxed",
  "total_magnetization_mub_per_fu": 0.000,
  "ef_ev_per_atom": -0.813,
  "sg": "C2/m (12)",
  "cell": [[-4.2352, -1.6528, -0.5706], [2.5278, -1.8213, 4.9105], [-3.2288, 8.0781, 0.5659]],
  "species": ["Au", "Au", "Au", "Au", "Ga", "Ga", "Y", "Y", "Y"],
  "frac_coords": [[0.9217, 0.8433, 0.5987], [0.0783, 0.1567, 0.4013], [0.2847, 0.5694, 0.9339], [0.7153, 0.4306, 0.0661], [0.3608, 0.7216, 0.6890], [0.6392, 0.2784, 0.3110], [0.0000, 0.0000, 0.0000], [0.3484, 0.6968, 0.3178], [0.6516, 0.3032, 0.6822]]
}

{
  "formula": "DyErNiIr",
  "functional": "PBE-GGA",
  "state": "relaxed",
  "total_magnetization_mub_per_fu": 0.000,
  "ef_ev_per_atom": -0.675,
  "sg": "F-43m (216)",
  "cell": [[-1.0247, -4.1156, -2.2419], [3.4871, -3.1643, -0.9178], [0.1690, -4.1479, 2.4045]],
  "species": ["Er", "Ir", "Ni", "Dy"],
  "frac_coords": [[0.5000, 0.5000, 0.5000], [0.7500, 0.7500, 0.7500], [0.2500, 0.2500, 0.2500], [0.0000, 0.0000, 0.0000]]
}